DFT (PBE) results for an optimized crystal structure of NaDyMo.

Unit cell a=6.969 b=6.969 c=6.969 alpha=90.00 beta=90.00 gamma=90.00
Space group F-43m (No. 216)
One atom of each set of equivalent atoms:
1 Na 0.000 0.000 0.000 [4 per cell]
2 Dy 0.250 0.250 0.750 [4 per cell]
3 Mo 0.000 0.000 0.500 [4 per cell]

Calculated values
Crystal system: cubic
Calculated volume in Å³ per atom: 28.20
VASP energy in eV/f.u.: -12.05